(1)
VASP calculation (PBE) on a relaxed structure of Sc2PRuAu.

Computed properties:
V, Å³/f.u.: 104.6
Raw total energy, Ry per atom: -0.445
Fermi-level density of states, states/eV/cell: 4.5
ΔH_f (0 K), eV/f.u.: 0.38

Cell and atoms, written as extended XYZ:
```
5
Lattice="-2.003 3.135 3.068 -3.404 0.637 -2.872 -2.435 -3.600 2.088" Properties=species:S:1:pos:R:3 pbc="T T T"
P 0.000 0.000 0.000
Sc -1.218 -1.800 1.044
Sc -1.001 1.567 1.534
Ru -3.921 0.086 1.142
Au -1.702 0.318 -1.436
```


(2)
VASP calculation (PBE) on a relaxed structure of Ga2PdN.

Computed properties:
V, Å³/f.u.: 60.2
Raw total energy, Ry per atom: -0.371
Fermi-level density of states, states/eV/cell: 3.2

Cell and atoms, written as extended XYZ:
```
8
Lattice="5.718 0.000 0.000 0.000 5.718 0.000 2.859 2.859 3.685" Properties=species:S:1:pos:R:3 pbc="T T T"
N 2.859 5.718 1.842
N 2.859 2.859 0.000
Ga 7.148 6.711 2.763
Ga 4.289 4.726 2.763
Ga 3.852 1.430 0.921
Ga 1.867 4.289 0.921
Pd 5.718 2.859 1.842
Pd 0.000 0.000 0.000
```


(3)
VASP calculation (PBE) on a relaxed structure of Cr2OsAu.

Computed properties:
V, Å³/f.u.: 55.2
Raw total energy, Ry per atom: -0.596
Fermi-level density of states, states/eV/cell: 3.8
ΔH_f (0 K), eV/f.u.: 1.34

Cell and atoms, written as extended XYZ:
```
4
Lattice="-1.340 2.546 2.406 -2.633 -2.518 1.198 2.428 -1.261 2.687" Properties=species:S:1:pos:R:3 pbc="T T T"
Au 0.544 0.642 2.546
Cr -0.102 -1.890 1.942
Cr 0.000 0.000 0.000
Os -1.987 0.014 1.802
```